(1)
NdSmCd17: relaxed, GGA-PBE.

abc: 10.0865 10.0865 14.9831
angles: 90.00 90.00 120.00
Space group R3m (No. 160, hexagonal axes)
Unique sites:
Nd 0.0000 0.0000 0.0000
Sm 0.0000 0.0000 0.6596
Cd 0.0000 0.0000 0.2360
Cd 0.0000 0.0000 0.4347
Cd 0.0015 0.3026 0.3315
Cd 0.0106 0.5053 0.1856
Cd 0.0216 0.5108 0.8275
Cd 0.0423 0.5211 0.4826

Output
uncorrected energy: -83.54 eV per cell
density of states at the Fermi level: 0.234 states/eV per atom

=====

(2)
Rb4AcBi3O12: relaxed, GGA-PBE.

abc: 8.8972 8.8972 8.8972
angles: 90.00 90.00 90.00
Space group Im-3m (No. 229)
Unique sites:
Rb 0.2500 0.2500 0.2500
Ac 0.0000 0.0000 0.0000
Bi 0.0000 0.0000 0.5000
O 0.0000 0.0000 0.2694
O 0.0000 0.2500 0.5000

Output
uncorrected energy: -209.45 eV per cell
raw formation energy: -1280 meV per atom
density of states at the Fermi level: 0.430 states/eV per atom

=====

(3)
RbNa2RuPb: relaxed, GGA-PBE.

abc: 5.4541 5.4541 6.2325
angles: 90.00 90.00 90.00
Space group P4/mmm (No. 123)
Unique sites:
Rb 0.0000 0.0000 0.0000
Na 0.0000 0.5000 0.0000
Ru 0.5000 0.5000 0.5000
Pb 0.0000 0.0000 0.5000

Output
uncorrected energy: -8.72 eV per cell
density of states at the Fermi level: 0.924 states/eV per atom

=====

(4)
CaTa2Tl: relaxed, GGA-PBE.

abc: 3.1038 5.4488 5.2917
angles: 90.00 93.23 90.00
Space group P2/m (No. 10)
Unique sites:
Ca 0.0000 0.0000 0.0000
Ta 0.3691 0.5000 0.7498
Tl 0.5000 0.0000 0.5000

Output
uncorrected energy: -25.90 eV per cell
density of states at the Fermi level: 0.717 states/eV per atom